(1)
Here is a relaxed Cs2LaSe2O6 crystal from Alexandria. Energies are from PBE-GGA.

```
11
Lattice="5.3886 -3.1985 0.0000 5.3886 3.1985 0.0000 -2.9714 0.0000 7.4391" Properties=species:S:1:pos:R:3 pbc="T T T"
Cs 1.8211 0.0000 1.7839
Cs 5.9847 0.0000 5.6551
La 5.3886 0.0000 0.0000
Se -1.2347 0.0000 5.3634
Se 9.0404 0.0000 2.0756
O 4.3448 1.7712 1.2866
O 0.3339 0.0000 6.2201
O 3.4609 1.7712 6.1525
O 4.3448 -1.7712 1.2866
O 7.4719 0.0000 1.2189
O 3.4609 -1.7712 6.1525
```

Output
uncorrected formation energy = -1691.0 kJ/mol of formula units
volume = 23.3 Å³ per atom

(2)
Here is a relaxed Cs2LaSi2O6 crystal from Alexandria. Energies are from PBE-GGA.

```
11
Lattice="3.1050 1.7927 6.1563 -3.1050 1.7927 6.1563 0.0000 -3.5853 6.1563" Properties=species:S:1:pos:R:3 pbc="T T T"
Cs 0.0000 0.0000 4.0747
Cs 0.0000 0.0000 14.3941
La 0.0000 0.0000 0.0000
Si 0.0000 0.0000 7.8893
Si 0.0000 0.0000 10.5795
O 0.0000 -1.5897 7.5492
O -1.3767 0.7949 7.5492
O -1.3768 -0.7949 10.9196
O 1.3768 0.7949 7.5492
O 1.3768 -0.7949 10.9196
O 0.0000 1.5897 10.9196
```

Output
uncorrected formation energy = -2670.9 kJ/mol of formula units
volume = 18.7 Å³ per atom

(3)
Here is a relaxed Cs2LaSiO4 crystal from Alexandria. Energies are from PBE-GGA.

```
16
Lattice="0.0000 6.5658 13.0574 2.9647 0.0000 13.0574 2.9647 6.5658 0.0000" Properties=species:S:1:pos:R:3 pbc="T T T"
Cs 2.2235 4.9243 1.4861
Cs 3.7058 8.2072 8.0148
Cs 2.2235 4.9243 18.0999
Cs 3.7058 8.2072 24.6286
La 0.7412 1.6414 3.2643
La 5.1882 11.4901 22.8504
Si 2.2235 4.9243 9.7930
Si 3.7058 8.2072 16.3217
O 3.2666 3.9550 8.9223
O 3.2666 5.8936 10.6638
O 4.7490 7.2379 17.1924
O 4.7490 9.1765 15.4510
O 1.1804 3.9550 10.6638
O 1.1804 5.8936 8.9223
O 2.6627 7.2379 15.4510
O 2.6627 9.1765 17.1924
```

Output
uncorrected formation energy = -1693.1 kJ/mol of formula units
volume = 31.8 Å³ per atom

(4)
Here is a relaxed Cs3La3SnO8 crystal from Alexandria. Energies are from PBE-GGA.

```
15
Lattice="3.6575 2.1117 7.0059 -3.6575 2.1117 7.0059 0.0000 -4.2233 7.0059" Properties=species:S:1:pos:R:3 pbc="T T T"
Cs -1.8287 -1.0558 7.0059
Cs -1.8287 1.0558 14.0118
Cs 0.0000 2.1117 7.0059
La -3.6575 0.0000 10.5089
La -1.8287 1.0558 3.5030
La 1.8287 1.0558 3.5030
Sn 0.0000 0.0000 10.5089
O 0.0000 0.0000 4.6384
O -1.6339 -0.9433 11.6187
O 0.0000 -1.8866 9.3990
O -1.6339 0.9433 9.3990
O 1.6339 -0.9433 11.6187
O 0.0000 1.8866 11.6187
O 1.6339 0.9433 9.3990
O 0.0000 0.0000 16.3793
```

Output
uncorrected formation energy = -3455.7 kJ/mol of formula units
volume = 21.6 Å³ per atom

| no. | total DFT energy (no corrections) (eV per atom) |
| --- | --- |
| 1 | -5.534 |
| 2 | -6.810 |
| 3 | -6.180 |
| 4 | -6.455 |